# 1
{
  "formula": "Y2Sc3Tl4",
  "functional": "GGA-PBE",
  "state": "relaxed",
  "lattice": [[3.389, -8.060, 0.000], [3.389, 8.060, 0.000], [0.000, 0.000, 8.717]],
  "species": ["Y", "Y", "Y", "Y", "Sc", "Sc", "Sc", "Sc", "Sc", "Sc", "Tl", "Tl", "Tl", "Tl", "Tl", "Tl", "Tl", "Tl"],
  "frac_coords": [[0.113, 0.887, 0.920], [0.387, 0.613, 0.420], [0.613, 0.387, 0.580], [0.887, 0.113, 0.080], [0.000, 0.000, 0.500], [0.037, 0.463, 0.750], [0.463, 0.037, 0.250], [0.500, 0.500, 0.000], [0.537, 0.963, 0.750], [0.963, 0.537, 0.250], [0.185, 0.815, 0.546], [0.216, 0.284, 0.750], [0.284, 0.216, 0.250], [0.315, 0.685, 0.046], [0.685, 0.315, 0.954], [0.716, 0.784, 0.750], [0.784, 0.716, 0.250], [0.815, 0.185, 0.454]],
  "sg": "Cmce (64)",
  "delta_e_f_ev_per_atom": -0.225
}



# 2
{
  "formula": "RbHO",
  "functional": "GGA-PBE",
  "state": "relaxed",
  "lattice": [[2.101, -5.559, 0.000], [2.101, 5.559, 0.000], [0.000, 0.000, 4.249]],
  "species": ["Rb", "Rb", "H", "H", "O", "O"],
  "frac_coords": [[0.140, 0.860, 0.500], [0.860, 0.140, 0.000], [0.464, 0.536, 0.625], [0.536, 0.464, 0.125], [0.399, 0.601, 0.469], [0.601, 0.399, 0.969]],
  "energy_ev_per_atom": -4.392,
  "sg": "Cmc2_1 (36)"
}



# 3
{
  "formula": "NdHoTm3Sc",
  "functional": "GGA-PBE",
  "state": "relaxed",
  "lattice": [[2.467, -7.391, 0.000], [2.467, 7.391, 0.000], [0.000, 0.000, 9.890]],
  "species": ["Nd", "Nd", "Ho", "Ho", "Tm", "Tm", "Tm", "Tm", "Tm", "Tm", "Sc", "Sc"],
  "frac_coords": [[0.002, 0.998, 0.750], [0.998, 0.002, 0.250], [0.500, 0.500, 0.000], [0.500, 0.500, 0.500], [0.168, 0.832, 0.000], [0.168, 0.832, 0.500], [0.330, 0.670, 0.750], [0.670, 0.330, 0.250], [0.832, 0.168, 0.000], [0.832, 0.168, 0.500], [0.331, 0.669, 0.250], [0.669, 0.331, 0.750]],
  "sg": "Cmcm (63)",
  "delta_e_f_ev_per_atom": 0.041
}



# 4
{
  "formula": "La2NdHg",
  "functional": "GGA-PBE",
  "state": "relaxed",
  "lattice": [[0.000, 3.992, 3.992], [3.992, 0.000, 3.992], [3.992, 3.992, 0.000]],
  "species": ["La", "La", "Nd", "Hg"],
  "frac_coords": [[0.250, 0.250, 0.250], [0.750, 0.750, 0.750], [0.000, 0.000, 0.000], [0.500, 0.500, 0.500]],
  "e_above_lowest_polymorph_ev_per_atom": 0.145,
  "sg": "Fm-3m (225)",
  "delta_e_f_ev_per_atom": -0.094
}



# 5
{
  "formula": "KMg4In12",
  "functional": "GGA-PBE",
  "state": "relaxed",
  "lattice": [[-5.072, 5.072, 5.072], [5.072, -5.072, 5.072], [5.072, 5.072, -5.072]],
  "species": ["K", "Mg", "Mg", "Mg", "Mg", "In", "In", "In", "In", "In", "In", "In", "In", "In", "In", "In", "In"],
  "frac_coords": [[0.000, 0.000, 0.000], [0.000, 0.000, 0.500], [0.000, 0.500, 0.000], [0.500, 0.000, 0.000], [0.500, 0.500, 0.500], [0.153, 0.355, 0.508], [0.153, 0.645, 0.798], [0.202, 0.847, 0.355], [0.355, 0.202, 0.847], [0.355, 0.508, 0.153], [0.492, 0.847, 0.645], [0.508, 0.153, 0.355], [0.645, 0.492, 0.847], [0.645, 0.798, 0.153], [0.798, 0.153, 0.645], [0.847, 0.355, 0.202], [0.847, 0.645, 0.492]],
  "sg": "Im-3 (204)",
  "delta_e_f_ev_per_atom": 0.141
}



# 6
{
  "formula": "SrCa2ZnSe4",
  "functional": "GGA-PBE",
  "state": "relaxed",
  "lattice": [[2.084, -7.019, 0.000], [2.084, 7.019, 0.000], [0.000, 0.000, 14.684]],
  "species": ["Sr", "Sr", "Ca", "Ca", "Ca", "Ca", "Zn", "Zn", "Se", "Se", "Se", "Se", "Se", "Se", "Se", "Se"],
  "frac_coords": [[0.120, 0.880, 0.750], [0.880, 0.120, 0.250], [0.370, 0.630, 0.555], [0.370, 0.630, 0.945], [0.630, 0.370, 0.055], [0.630, 0.370, 0.445], [0.156, 0.844, 0.250], [0.844, 0.156, 0.750], [0.000, 0.000, 0.000], [0.000, 0.000, 0.500], [0.269, 0.731, 0.123], [0.269, 0.731, 0.377], [0.446, 0.554, 0.750], [0.554, 0.446, 0.250], [0.731, 0.269, 0.623], [0.731, 0.269, 0.877]],
  "sg": "Cmcm (63)",
  "e_form_raw_mev_per_atom": -1642.2
}



# 7
{
  "formula": "AcLaTeSe",
  "functional": "GGA-PBE",
  "state": "relaxed",
  "lattice": [[2.253, 1.301, 7.462], [-2.253, 1.301, 7.462], [0.000, -2.601, 7.462]],
  "species": ["Ac", "La", "Te", "Se"],
  "frac_coords": [[0.000, 0.000, 0.000], [0.517, 0.517, 0.517], [0.762, 0.762, 0.762], [0.255, 0.255, 0.255]],
  "e_above_lowest_polymorph_ev_per_atom": 0.000,
  "sg": "R3m (160)",
  "e_form_raw_mev_per_atom": -1739.3
}



# 8
{
  "formula": "K2ZnCu3F12",
  "functional": "GGA-PBE",
  "state": "relaxed",
  "lattice": [[3.643, 2.103, 5.842], [-3.643, 2.103, 5.842], [0.000, -4.207, 5.842]],
  "species": ["K", "K", "Zn", "Cu", "Cu", "Cu", "F", "F", "F", "F", "F", "F", "F", "F", "F", "F", "F", "F"],
  "frac_coords": [[0.129, 0.129, 0.129], [0.871, 0.871, 0.871], [0.500, 0.500, 0.500], [0.000, 0.500, 0.500], [0.500, 0.000, 0.500], [0.500, 0.500, 0.000], [0.162, 0.581, 0.581], [0.179, 0.179, 0.578], [0.179, 0.578, 0.179], [0.419, 0.419, 0.838], [0.419, 0.838, 0.419], [0.422, 0.821, 0.821], [0.578, 0.179, 0.179], [0.581, 0.162, 0.581], [0.581, 0.581, 0.162], [0.821, 0.422, 0.821], [0.821, 0.821, 0.422], [0.838, 0.419, 0.419]],
  "sg": "R-3m (166)",
  "e_form_raw_mev_per_atom": -1929.2
}